1.
# Ac2LaPm4Nd2 | Alexandria | PBE-GGA | optimized geometry
# - VASP energy: -4.61 eV/atom
# - Density: 7.22 g cm⁻³
data_Ac2LaPm4Nd2
_chemical_formula_sum 'Ac4 La2 Pm8 Nd4'
_symmetry_space_group_name_H-M 'C 1 2/m 1'
_symmetry_Int_Tables_number 12
_cell_length_a 19.5691
_cell_length_b 3.7933
_cell_length_c 10.0538
_cell_angle_alpha 90.00
_cell_angle_beta 115.74
_cell_angle_gamma 90.00
loop_
_symmetry_equiv_pos_as_xyz
'x,y,z'
'-x,-y,-z'
'-x,y,-z'
'x,-y,z'
'x+1/2,y+1/2,z'
'-x+1/2,-y+1/2,-z'
'-x+1/2,y+1/2,-z'
'x+1/2,-y+1/2,z'
loop_
_atom_site_label
_atom_site_fract_x
_atom_site_fract_y
_atom_site_fract_z
_atom_site_occupancy
Ac1 0.1466 0.0000 0.1649 1
La1 0.0000 0.0000 0.5000 1
Pm1 0.0185 0.5000 0.8245 1
Pm2 0.1834 0.0000 0.8319 1
Nd1 0.1663 0.5000 0.5061 1

2.
# KLi2GeS | Alexandria | PBE-GGA | optimized geometry
# - VASP energy: -2.97 eV/atom
# - Formation energy from raw total energies: -0.2389 eV/atom
# - Density: 2.07 g cm⁻³
data_KLi2GeS
_chemical_formula_sum 'K1 Li2 Ge1 S1'
_symmetry_space_group_name_H-M 'P 4/m m m'
_symmetry_Int_Tables_number 123
_symmetry_space_group_name_Hall '-P 4 2'
_cell_length_a 4.8996
_cell_length_b 4.8996
_cell_length_c 5.2810
_cell_angle_alpha 90.00
_cell_angle_beta 90.00
_cell_angle_gamma 90.00
loop_
_atom_site_label
_atom_site_fract_x
_atom_site_fract_y
_atom_site_fract_z
_atom_site_occupancy
K1 0.0000 0.0000 0.0000 1
Li1 0.0000 0.5000 0.5000 1
Ge1 0.5000 0.5000 0.5000 1
S1 0.5000 0.5000 0.0000 1

3.
# ZrUSe2N | Alexandria | PBE-GGA | optimized geometry
# - VASP energy: -8.42 eV/atom
# - Formation energy from raw total energies: -1.3936 eV/atom
# - Density: 8.57 g cm⁻³
data_ZrUSe2N
_chemical_formula_sum 'Zr2 U2 Se4 N2'
_symmetry_space_group_name_H-M 'P 4/n m m'
_symmetry_Int_Tables_number 129
_cell_length_a 3.7950
_cell_length_b 3.7950
_cell_length_c 13.4815
_cell_angle_alpha 90.00
_cell_angle_beta 90.00
_cell_angle_gamma 90.00
loop_
_symmetry_equiv_pos_as_xyz
'x,y,z'
'-x,-y,-z'
'-y+1/2,x,z'
'y+1/2,-x,-z'
'-x+1/2,-y+1/2,z'
'x+1/2,y+1/2,-z'
'y,-x+1/2,z'
'-y,x+1/2,-z'
'x+1/2,-y,-z'
'-x+1/2,y,z'
'-y,-x,-z'
'y,x,z'
'-x,y+1/2,-z'
'x,-y+1/2,z'
'y+1/2,x+1/2,-z'
'-y+1/2,-x+1/2,z'
loop_
_atom_site_label
_atom_site_fract_x
_atom_site_fract_y
_atom_site_fract_z
_atom_site_occupancy
Zr1 0.2500 0.2500 0.0832 1
U1 0.2500 0.2500 0.5889 1
Se1 0.2500 0.2500 0.2976 1
Se2 0.2500 0.2500 0.8773 1
N1 0.2500 0.7500 0.5000 1

4.
# Mn2ZnGa2Pt5 | Alexandria | PBE-GGA | optimized geometry
# - VASP energy: -5.96 eV/atom
# - Density: 13.45 g cm⁻³
data_Mn2ZnGa2Pt5
_chemical_formula_sum 'Mn4 Zn2 Ga4 Pt10'
_symmetry_space_group_name_H-M 'P 4/m b m'
_symmetry_Int_Tables_number 127
_symmetry_space_group_name_Hall '-P 4 2ab'
_cell_length_a 9.2206
_cell_length_b 9.2206
_cell_length_c 3.7479
_cell_angle_alpha 90.00
_cell_angle_beta 90.00
_cell_angle_gamma 90.00
loop_
_atom_site_label
_atom_site_fract_x
_atom_site_fract_y
_atom_site_fract_z
_atom_site_occupancy
Mn1 0.1704 0.3296 0.0000 1
Zn1 0.0000 0.0000 0.0000 1
Ga1 0.1292 0.6292 0.0000 1
Pt1 0.0000 0.5000 0.5000 1
Pt2 0.0798 0.8049 0.5000 1